Crystalline Cs2LiAgBr4 at its relaxed geometry. Source: OQMD via LeMat-Bulk, functional PBE-GGA.

The structure belongs to space group P4mm (No. 99); the cell edges are 5.2863, 5.2863 and 10.2711 Å and the angles 90.00°, 90.00° and 90.00°. The asymmetric unit holds Cs at (0.0000, 0.0000, 0.0000), Cs at (0.5000, 0.5000, 0.4031), Li at (0.0000, 0.0000, 0.6044), Ag at (0.5000, 0.5000, 0.7904), Br at (0.0000, 0.0000, 0.3598), Br at (0.0000, 0.5000, 0.6849) and Br at (0.5000, 0.5000, 0.0493).

***

Crystalline Ho2Sn2Pt3C at its relaxed geometry. Source: OQMD via LeMat-Bulk, functional PBE-GGA.

The calculation puts the magnetization at 0.00 μB per cell.

The structure belongs to space group P3m1 (No. 156); the cell edges are 4.3609, 4.3609 and 9.9699 Å and the angles 90.00°, 90.00° and 120.00°. The asymmetric unit holds Ho at (0.0000, 0.0000, 0.0000), Ho at (0.3333, 0.6667, 0.4552), Sn at (0.6667, 0.3333, 0.2055), Sn at (0.6667, 0.3333, 0.7072), Pt at (0.0000, 0.0000, 0.3122), Pt at (0.0000, 0.0000, 0.6068), Pt at (0.3333, 0.6667, 0.8110) and C at (0.3333, 0.6667, 0.0079).

***

Crystalline MgCoHgS3 at its relaxed geometry. Source: OQMD via LeMat-Bulk, functional PBE-GGA.

The calculation puts the magnetization at 0.01 μB per cell.

The structure belongs to space group Cmcm (No. 63); the cell edges are 3.3207, 16.1295 and 8.8887 Å and the angles 90.00°, 90.00° and 90.00°. The asymmetric unit holds Mg at (0.0000, 0.1452, 0.2500), Co at (0.0000, 0.5000, 0.0000), Hg at (0.0000, 0.2070, 0.7500), S at (0.0000, 0.0956, 0.5221) and S at (0.0000, 0.4690, 0.7500).

***

Number 1: raw total energy -24.11 eV/f.u., volume 35.9 A^3/atom. Number 2: raw total energy -48.70 eV/f.u., volume 20.5 A^3/atom. Number 3: raw total energy -23.57 eV/f.u., volume 19.8 A^3/atom.